Record 1
Compound: RbBePbBr5
Source: Alexandria via LeMat-Bulk
Functional: GGA-PBE
Structure: relaxed

a b c (Å): 7.9889 7.9889 10.6178
angles (deg): 105.14 105.14 105.45
Positions (direct):
Rb 0.1411 0.8589 0.7500
Rb 0.8589 0.1411 0.2500
Be 0.1890 0.8110 0.2500
Be 0.8110 0.1890 0.7500
Pb 0.5000 0.5000 0.0000
Pb 0.5000 0.5000 0.5000
Br 0.0789 0.2541 0.9184
Br 0.1687 0.5989 0.3499
Br 0.2541 0.0789 0.4184
Br 0.4011 0.8313 0.1501
Br 0.4016 0.5984 0.7500
Br 0.5984 0.4016 0.2500
Br 0.5989 0.1687 0.8499
Br 0.7459 0.9211 0.5816
Br 0.8313 0.4011 0.6501
Br 0.9211 0.7459 0.0816

## Properties
Formation energy (no corrections): -1.1481 eV per atom
D(E_F): 0.00 states/eV/f.u.
DFT total energy: -3.24 eV per atom


Record 2
Compound: ScIn2Ru
Source: Alexandria via LeMat-Bulk
Functional: GGA-PBE
Structure: relaxed

a b c (Å): 4.1149 4.1856 4.4647
angles (deg): 90.00 90.00 90.00
Positions (direct):
Sc 0.0000 0.0000 0.0000
In 0.0000 0.5000 0.5000
In 0.5000 0.0000 0.5000
Ru 0.5000 0.5000 0.0000

## Properties
Formation energy from the elements: -0.18 eV/atom
D(E_F): 3.01 states/eV/f.u.
DFT total energy: -5.45 eV per atom


Record 3
Compound: ScPaFe
Source: Alexandria via LeMat-Bulk
Functional: GGA-PBE
Structure: relaxed

a b c (Å): 5.6261 3.5759 12.2347
angles (deg): 90.00 90.00 90.00
Positions (direct):
Sc 0.1307 0.2500 0.0980
Sc 0.3693 0.7500 0.5980
Sc 0.6307 0.2500 0.4020
Sc 0.8693 0.7500 0.9020
Pa 0.1343 0.7500 0.3398
Pa 0.3657 0.2500 0.8398
Pa 0.6343 0.7500 0.1602
Pa 0.8657 0.2500 0.6602
Fe 0.1475 0.2500 0.4638
Fe 0.3525 0.7500 0.9638
Fe 0.6475 0.2500 0.0362
Fe 0.8525 0.7500 0.5362

## Properties
Formation energy from the elements: -0.15 eV/atom
D(E_F): 2.72 states/eV/f.u.
DFT total energy: -8.25 eV per atom


Record 4
Compound: YbIn2Se4
Source: Alexandria via LeMat-Bulk
Functional: GGA-PBE
Structure: relaxed

a b c (Å): 6.3345 6.3345 10.7536
angles (deg): 90.00 90.00 114.37
Positions (direct):
Yb 0.0000 0.0000 0.2500
Yb 0.0000 0.0000 0.7500
In 0.2762 0.7149 0.0000
In 0.2851 0.7238 0.5000
In 0.7149 0.2762 0.5000
In 0.7238 0.2851 0.0000
Se 0.0000 0.5000 0.1875
Se 0.0000 0.5000 0.8125
Se 0.1436 0.2742 0.5000
Se 0.2742 0.1436 0.0000
Se 0.5000 0.0000 0.3125
Se 0.5000 0.0000 0.6875
Se 0.7258 0.8564 0.0000
Se 0.8564 0.7258 0.5000

## Properties
Formation energy (no corrections): -0.9094 eV per atom
D(E_F): 16.85 states/eV/f.u.
DFT total energy: -3.90 eV per atom


Record 5
Compound: RbNb3C
Source: Alexandria via LeMat-Bulk
Functional: GGA-PBE
Structure: relaxed

a b c (Å): 4.7652 4.7652 4.7652
angles (deg): 90.00 90.00 90.00
Positions (direct):
Rb 0.0000 0.0000 0.0000
Nb 0.0000 0.0000 0.5000
Nb 0.0000 0.5000 0.0000
Nb 0.5000 0.0000 0.0000
C 0.5000 0.5000 0.5000

## Properties
Formation energy from the elements: 3.97 eV/atom
D(E_F): 4.22 states/eV/f.u.
DFT total energy: -4.11 eV per atom


Record 6
Compound: ErTl5
Source: Alexandria via LeMat-Bulk
Functional: GGA-PBE
Structure: relaxed

a b c (Å): 8.0632 8.0632 4.5526
angles (deg): 90.00 90.00 144.71
Positions (direct):
Er 0.0000 0.0000 0.0000
Tl 0.1640 0.8360 0.5000
Tl 0.3349 0.6651 0.0000
Tl 0.5000 0.5000 0.5000
Tl 0.6651 0.3349 0.0000
Tl 0.8360 0.1640 0.5000

## Properties
Formation energy from the elements: -0.05 eV/atom
D(E_F): 3.47 states/eV/f.u.
DFT total energy: -2.78 eV per atom


Record 7
Compound: CdNiPb
Source: Alexandria via LeMat-Bulk
Functional: GGA-PBE
Structure: relaxed

a b c (Å): 4.6318 4.6318 4.6318
angles (deg): 60.00 60.00 60.00
Positions (direct):
Cd 0.0000 0.0000 0.0000
Ni 0.5000 0.5000 0.5000
Pb 0.2500 0.2500 0.2500

## Properties
Formation energy from the elements: 0.49 eV/atom
D(E_F): 3.00 states/eV/f.u.
DFT total energy: -2.97 eV per atom


Record 8
Compound: TbPrSi4
Source: Alexandria via LeMat-Bulk
Functional: GGA-PBE
Structure: relaxed

a b c (Å): 8.2604 14.7821 4.1632
angles (deg): 90.00 90.00 90.00
Positions (direct):
Tb 0.1401 0.0881 0.0000
Tb 0.3599 0.5881 0.0000
Tb 0.6401 0.4119 0.0000
Tb 0.8599 0.9119 0.0000
Pr 0.1186 0.3612 0.0000
Pr 0.3814 0.8612 0.0000
Pr 0.6186 0.1388 0.0000
Pr 0.8814 0.6388 0.0000
Si 0.0207 0.2052 0.5000
Si 0.1219 0.9427 0.5000
Si 0.1253 0.5373 0.5000
Si 0.1930 0.6960 0.5000
Si 0.3070 0.1960 0.5000
Si 0.3747 0.0373 0.5000
Si 0.3781 0.4427 0.5000
Si 0.4793 0.7052 0.5000
Si 0.5207 0.2948 0.5000
Si 0.6219 0.5573 0.5000
Si 0.6253 0.9627 0.5000
Si 0.6930 0.8040 0.5000
Si 0.8070 0.3040 0.5000
Si 0.8747 0.4627 0.5000
Si 0.8781 0.0573 0.5000
Si 0.9793 0.7948 0.5000

## Properties
Formation energy (no corrections): -0.4573 eV per atom
D(E_F): 2.13 states/eV/f.u.
DFT total energy: -5.64 eV per atom


Record 9
Compound: CoHg2Os
Source: Alexandria via LeMat-Bulk
Functional: GGA-PBE
Structure: relaxed

a b c (Å): 2.9039 2.9039 7.9127
angles (deg): 90.00 90.00 90.00
Positions (direct):
Co 0.0000 0.0000 0.0000
Hg 0.5000 0.5000 0.2368
Hg 0.5000 0.5000 0.7632
Os 0.0000 0.0000 0.5000

## Properties
Formation energy from the elements: 0.87 eV/atom
D(E_F): 6.74 states/eV/f.u.
DFT total energy: -3.86 eV per atom


Record 10
Compound: YRe2Si
Source: Alexandria via LeMat-Bulk
Functional: GGA-PBE
Structure: relaxed

a b c (Å): 5.6744 5.6744 5.6744
angles (deg): 43.67 43.67 43.67
Positions (direct):
Y 0.0000 0.0000 0.0000
Re 0.2019 0.2019 0.2019
Re 0.4993 0.4993 0.4993
Si 0.7901 0.7901 0.7901

## Properties
Formation energy (no corrections): -0.2117 eV per atom
D(E_F): 2.68 states/eV/f.u.
DFT total energy: -9.41 eV per atom


Record 11
Compound: TiNbB3
Source: Alexandria via LeMat-Bulk
Functional: GGA-PBE
Structure: relaxed

a b c (Å): 9.7635 9.7635 3.0892
angles (deg): 90.00 90.00 160.51
Positions (direct):
Ti 0.2045 0.7955 0.7500
Ti 0.7955 0.2045 0.2500
Nb 0.0699 0.9301 0.2500
Nb 0.9301 0.0699 0.7500
B 0.3329 0.6671 0.7500
B 0.3813 0.6187 0.2500
B 0.4761 0.5239 0.2500
B 0.5239 0.4761 0.7500
B 0.6187 0.3813 0.7500
B 0.6671 0.3329 0.2500

## Properties
Formation energy from the elements: -0.85 eV/atom
D(E_F): 1.14 states/eV/f.u.
DFT total energy: -8.45 eV per atom


Record 12
Compound: LaUCo4
Source: Alexandria via LeMat-Bulk
Functional: GGA-PBE
Structure: relaxed

a b c (Å): 5.0042 5.0042 5.0042
angles (deg): 60.00 60.00 60.00
Positions (direct):
La 0.0000 0.0000 0.0000
U 0.7500 0.7500 0.7500
Co 0.3762 0.3762 0.3762
Co 0.3762 0.3762 0.8714
Co 0.3762 0.8714 0.3762
Co 0.8714 0.3762 0.3762

## Properties
Formation energy from the elements: -0.06 eV/atom
D(E_F): 8.58 states/eV/f.u.
DFT total energy: -7.50 eV per atom


Record 13
Compound: Ta6GaC
Source: Alexandria via LeMat-Bulk
Functional: GGA-PBE
Structure: relaxed

a b c (Å): 6.0265 6.0265 6.0265
angles (deg): 55.57 55.57 55.57
Positions (direct):
Ta 0.0142 0.4312 0.7833
Ta 0.2167 0.9858 0.5688
Ta 0.4312 0.7833 0.0142
Ta 0.5688 0.2167 0.9858
Ta 0.7833 0.0142 0.4312
Ta 0.9858 0.5688 0.2167
Ga 0.5000 0.5000 0.5000
C 0.0000 0.0000 0.0000

## Properties
Formation energy from the elements: 0.15 eV/atom
D(E_F): 6.12 states/eV/f.u.
DFT total energy: -10.27 eV per atom


Record 14
Compound: CsGeSe2
Source: Alexandria via LeMat-Bulk
Functional: GGA-PBE
Structure: relaxed

a b c (Å): 8.8084 10.3431 5.9677
angles (deg): 90.00 90.00 90.00
Positions (direct):
Cs 0.0200 0.1671 0.0000
Cs 0.4800 0.6671 0.5000
Cs 0.5200 0.3329 0.0000
Cs 0.9800 0.8329 0.5000
Ge 0.1408 0.5184 0.8709
Ge 0.3592 0.0184 0.3709
Ge 0.6408 0.9816 0.8709
Ge 0.8592 0.4816 0.3709
Se 0.1499 0.4688 0.2970
Se 0.2199 0.7329 0.0089
Se 0.2801 0.2329 0.5089
Se 0.3501 0.9688 0.7970
Se 0.6499 0.0312 0.2970
Se 0.7199 0.7671 0.0089
Se 0.7801 0.2671 0.5089
Se 0.8501 0.5312 0.7970

## Properties
Formation energy (no corrections): -0.5309 eV per atom
D(E_F): 0.01 states/eV/f.u.
DFT total energy: -3.64 eV per atom


Record 15
Compound: NpSiH2
Source: Alexandria via LeMat-Bulk
Functional: GGA-PBE
Structure: relaxed

a b c (Å): 7.5272 4.2620 5.6281
angles (deg): 90.00 90.00 90.00
Positions (direct):
Np 0.1935 0.2500 0.1482
Np 0.3065 0.7500 0.6482
Np 0.6935 0.2500 0.3518
Np 0.8065 0.7500 0.8518
Si 0.0295 0.2500 0.6226
Si 0.4705 0.7500 0.1226
Si 0.5295 0.2500 0.8774
Si 0.9705 0.7500 0.3774
H 0.0812 0.5293 0.8464
H 0.0812 0.9707 0.8464
H 0.4188 0.0293 0.3464
H 0.4188 0.4707 0.3464
H 0.5812 0.5293 0.6536
H 0.5812 0.9707 0.6536
H 0.9188 0.0293 0.1536
H 0.9188 0.4707 0.1536

## Properties
D(E_F): 7.22 states/eV/f.u.
DFT total energy: -6.39 eV per atom


Record 16
Compound: Dy8ZnIr2
Source: Alexandria via LeMat-Bulk
Functional: GGA-PBE
Structure: relaxed

a b c (Å): 7.8105 7.8105 5.5178
angles (deg): 97.58 97.58 113.08
Positions (direct):
Dy 0.0000 0.0000 0.0000
Dy 0.0473 0.3077 0.6090
Dy 0.1345 0.6192 0.1961
Dy 0.3077 0.0473 0.6090
Dy 0.4463 0.7067 0.7823
Dy 0.6192 0.1345 0.1961
Dy 0.7067 0.4463 0.7823
Dy 0.7544 0.7544 0.3925
Zn 0.3765 0.3765 0.2039
Ir 0.0670 0.6868 0.6960
Ir 0.6868 0.0670 0.6960

## Properties
Formation energy from the elements: -0.35 eV/atom
D(E_F): 12.00 states/eV/f.u.
DFT total energy: -5.43 eV per atom